DFT (PBE) results for Eu3Cd after structural relaxation.

Energy above the most stable polymorph in this dataset (eV/f.u.): 0.08
Total magnetic moment (Bohr magnetons per cell): 22.9
Theoretical density (kg/m3): 6764
Space-group type: I4/mmm
Calculated volume (A^3/atom): 34.88

Cell: 5.1595 5.1595 6.3859 Å, 113.83 113.83 90.00°
Last column: nearest neighbours and their distance in Å.
Fractional coordinates of all 4 atoms:
Eu: 0.5000 0.5000 0.0000  4 Cd 3.65, 8 Eu 3.68
Eu: 0.7500 0.2500 0.5000  8 Eu 3.65-3.68, 4 Cd 3.68
Eu: 0.2500 0.7500 0.5000  8 Eu 3.65-3.68, 4 Cd 3.68
Cd: 0.0000 0.0000 0.0000  12 Eu 3.65-3.68